(1)
Below is NbZnW3 at its PBEsol-relaxed geometry, with properties calculated at the SCAN level.

```
data_NbZnW3
_chemical_formula_sum 'Nb1 Zn1 W3'
_space_group_name_H-M_alt 'P 1'
_space_group_IT_number 1
_cell_length_a 4.4926
_cell_length_b 4.4926
_cell_length_c 4.4926
_cell_angle_alpha 90.00
_cell_angle_beta 90.00
_cell_angle_gamma 90.00
loop_
_space_group_symop_operation_xyz
'x,y,z'
loop_
_atom_site_label
_atom_site_type_symbol
_atom_site_fract_x
_atom_site_fract_y
_atom_site_fract_z
Nb1 Nb 0.5000 0.5000 0.5000
Zn1 Zn 0.0000 0.0000 0.0000
W1 W 0.0000 0.5000 0.0000
W2 W 0.0000 0.0000 0.5000
W3 W 0.5000 0.0000 0.0000
```

Its volume is 18.13 Å³/atom. The calculation puts the raw total energy at -49.297 eV/atom.

(2)
Below is Cd3AgI at its PBEsol-relaxed geometry, with properties calculated at the SCAN level.

```
data_Cd3AgI
_chemical_formula_sum 'Cd3 Ag1 I1'
_space_group_name_H-M_alt 'P 1'
_space_group_IT_number 1
_cell_length_a 5.7972
_cell_length_b 5.7972
_cell_length_c 5.7972
_cell_angle_alpha 90.00
_cell_angle_beta 90.00
_cell_angle_gamma 90.00
loop_
_space_group_symop_operation_xyz
'x,y,z'
loop_
_atom_site_label
_atom_site_type_symbol
_atom_site_fract_x
_atom_site_fract_y
_atom_site_fract_z
I1 I 0.0000 0.0000 0.0000
Ag1 Ag 0.5000 0.5000 0.5000
Cd1 Cd 0.0000 0.5000 0.0000
Cd2 Cd 0.0000 0.0000 0.5000
Cd3 Cd 0.5000 0.0000 0.0000
```

Its volume is 38.97 Å³/atom. Its formation energy (no corrections) is 0.920 eV/atom. The calculation puts the raw total energy at -30.950 eV/atom.

(3)
Below is Sr4CdBr at its PBEsol-relaxed geometry, with properties calculated at the SCAN level.

```
data_Sr4CdBr
_chemical_formula_sum 'Sr4 Cd1 Br1'
_space_group_name_H-M_alt 'P 1'
_space_group_IT_number 1
_cell_length_a 7.2859
_cell_length_b 7.2859
_cell_length_c 7.2859
_cell_angle_alpha 60.00
_cell_angle_beta 60.00
_cell_angle_gamma 60.00
loop_
_space_group_symop_operation_xyz
'x,y,z'
loop_
_atom_site_label
_atom_site_type_symbol
_atom_site_fract_x
_atom_site_fract_y
_atom_site_fract_z
Br1 Br 0.7500 0.7500 0.7500
Cd1 Cd 0.0000 0.0000 0.0000
Sr1 Sr 0.3744 0.3744 0.3744
Sr2 Sr 0.3744 0.3744 0.8768
Sr3 Sr 0.8768 0.3744 0.3744
Sr4 Sr 0.3744 0.8768 0.3744
```

Its volume is 45.58 Å³/atom. Its formation energy (no corrections) is 0.138 eV/atom. The calculation puts the raw total energy at -23.024 eV/atom.

(4)
Below is Ti2CoAs2 at its PBEsol-relaxed geometry, with properties calculated at the SCAN level.

```
data_Ti2CoAs2
_chemical_formula_sum 'Ti2 Co1 As2'
_space_group_name_H-M_alt 'P 1'
_space_group_IT_number 1
_cell_length_a 4.0159
_cell_length_b 4.0159
_cell_length_c 6.0343
_cell_angle_alpha 109.44
_cell_angle_beta 109.44
_cell_angle_gamma 90.00
loop_
_space_group_symop_operation_xyz
'x,y,z'
loop_
_atom_site_label
_atom_site_type_symbol
_atom_site_fract_x
_atom_site_fract_y
_atom_site_fract_z
As1 As 0.3891 0.3891 0.7781
As2 As 0.6109 0.6109 0.2219
Co1 Co 0.0000 0.0000 0.0000
Ti1 Ti 0.2500 0.7500 0.5000
Ti2 Ti 0.7500 0.2500 0.5000
```

Its volume is 17.17 Å³/atom. The calculation puts the raw total energy at -18.031 eV/atom.

(5)
Below is YTa2Sb at its PBEsol-relaxed geometry, with properties calculated at the SCAN level.

```
data_YTa2Sb
_chemical_formula_sum 'Y1 Ta2 Sb1'
_space_group_name_H-M_alt 'P 1'
_space_group_IT_number 1
_cell_length_a 3.5024
_cell_length_b 3.5024
_cell_length_c 6.9007
_cell_angle_alpha 90.00
_cell_angle_beta 90.00
_cell_angle_gamma 90.00
loop_
_space_group_symop_operation_xyz
'x,y,z'
loop_
_atom_site_label
_atom_site_type_symbol
_atom_site_fract_x
_atom_site_fract_y
_atom_site_fract_z
Sb1 Sb 0.5000 0.5000 0.7857
Ta1 Ta 0.0000 0.0000 0.0129
Ta2 Ta 0.5000 0.5000 0.2117
Y1 Y 0.0000 0.0000 0.4898
```

Its volume is 21.16 Å³/atom. Its formation energy (no corrections) is -0.094 eV/atom. The calculation puts the raw total energy at -49.662 eV/atom.

(6)
Below is Mg2CdAg at its PBEsol-relaxed geometry, with properties calculated at the SCAN level.

```
data_Mg2CdAg
_chemical_formula_sum 'Mg2 Cd1 Ag1'
_space_group_name_H-M_alt 'P 1'
_space_group_IT_number 1
_cell_length_a 3.1101
_cell_length_b 3.1101
_cell_length_c 9.5561
_cell_angle_alpha 80.63
_cell_angle_beta 80.63
_cell_angle_gamma 60.00
loop_
_space_group_symop_operation_xyz
'x,y,z'
loop_
_atom_site_label
_atom_site_type_symbol
_atom_site_fract_x
_atom_site_fract_y
_atom_site_fract_z
Mg1 Mg 0.2458 0.2458 0.2626
Mg2 Mg 0.7542 0.7542 0.7374
Ag1 Ag 0.5000 0.5000 0.5000
Cd1 Cd 0.0000 0.0000 0.0000
```

Its volume is 19.66 Å³/atom. The calculation puts the raw total energy at -18.033 eV/atom.

(7)
Below is Ho3ReB7 at its PBEsol-relaxed geometry, with properties calculated at the SCAN level.

```
data_Ho3ReB7
_chemical_formula_sum 'Ho6 Re2 B14'
_space_group_name_H-M_alt 'P 1'
_space_group_IT_number 1
_cell_length_a 3.4842
_cell_length_b 7.9937
_cell_length_c 9.2667
_cell_angle_alpha 90.00
_cell_angle_beta 90.00
_cell_angle_gamma 102.59
loop_
_space_group_symop_operation_xyz
'x,y,z'
loop_
_atom_site_label
_atom_site_type_symbol
_atom_site_fract_x
_atom_site_fract_y
_atom_site_fract_z
Ho1 Ho 0.1055 0.2109 0.4405
Ho2 Ho 0.8945 0.7891 0.9405
Ho3 Ho 0.8945 0.7891 0.5595
Ho4 Ho 0.1055 0.2109 0.0595
Ho5 Ho 0.7574 0.5147 0.2500
Ho6 Ho 0.2426 0.4853 0.7500
Re1 Re 0.9472 0.8944 0.2500
Re2 Re 0.0528 0.1056 0.7500
B1 B 0.5446 0.0891 0.2500
B2 B 0.4554 0.9109 0.7500
B3 B 0.2727 0.5454 0.4673
B4 B 0.7273 0.4546 0.9673
B5 B 0.7273 0.4546 0.5327
B6 B 0.2727 0.5454 0.0327
B7 B 0.3674 0.7349 0.1502
B8 B 0.6326 0.2651 0.6502
B9 B 0.6326 0.2651 0.8498
B10 B 0.3674 0.7349 0.3498
B11 B 0.4798 0.9596 0.0946
B12 B 0.5202 0.0404 0.5946
B13 B 0.5202 0.0404 0.9054
B14 B 0.4798 0.9596 0.4054
```

Its volume is 11.45 Å³/atom. The calculation puts the raw total energy at -25.251 eV/atom.

(8)
Below is KBeCu2 at its PBEsol-relaxed geometry, with properties calculated at the SCAN level.

```
data_KBeCu2
_chemical_formula_sum 'K1 Be1 Cu2'
_space_group_name_H-M_alt 'P 1'
_space_group_IT_number 1
_cell_length_a 2.9988
_cell_length_b 2.9988
_cell_length_c 7.3820
_cell_angle_alpha 90.00
_cell_angle_beta 90.00
_cell_angle_gamma 90.00
loop_
_space_group_symop_operation_xyz
'x,y,z'
loop_
_atom_site_label
_atom_site_type_symbol
_atom_site_fract_x
_atom_site_fract_y
_atom_site_fract_z
Be1 Be 0.5000 0.5000 0.8626
K1 K 0.0000 0.0000 0.5039
Cu1 Cu 0.0000 0.0000 0.9745
Cu2 Cu 0.5000 0.5000 0.1591
```

Its volume is 16.60 Å³/atom. The calculation puts the raw total energy at -10.320 eV/atom.

(9)
Below is CdTePbW2 at its PBEsol-relaxed geometry, with properties calculated at the SCAN level.

```
data_CdTePbW2
_chemical_formula_sum 'Cd1 Te1 Pb1 W2'
_space_group_name_H-M_alt 'P 1'
_space_group_IT_number 1
_cell_length_a 4.9109
_cell_length_b 4.9109
_cell_length_c 5.7238
_cell_angle_alpha 90.00
_cell_angle_beta 90.00
_cell_angle_gamma 90.00
loop_
_space_group_symop_operation_xyz
'x,y,z'
loop_
_atom_site_label
_atom_site_type_symbol
_atom_site_fract_x
_atom_site_fract_y
_atom_site_fract_z
Pb1 Pb 0.0000 0.0000 0.5000
Te1 Te 0.0000 0.0000 0.0000
W1 W 0.0000 0.5000 0.0000
W2 W 0.5000 0.0000 0.0000
Cd1 Cd 0.5000 0.5000 0.5000
```

Its volume is 27.61 Å³/atom. Its formation energy (no corrections) is 2.246 eV/atom. The calculation puts the raw total energy at -54.318 eV/atom.

(10)
Below is Tl2CuSi at its PBEsol-relaxed geometry, with properties calculated at the SCAN level.

```
data_Tl2CuSi
_chemical_formula_sum 'Tl2 Cu1 Si1'
_space_group_name_H-M_alt 'P 1'
_space_group_IT_number 1
_cell_length_a 3.4483
_cell_length_b 3.4483
_cell_length_c 8.2672
_cell_angle_alpha 77.96
_cell_angle_beta 77.96
_cell_angle_gamma 60.00
loop_
_space_group_symop_operation_xyz
'x,y,z'
loop_
_atom_site_label
_atom_site_type_symbol
_atom_site_fract_x
_atom_site_fract_y
_atom_site_fract_z
Cu1 Cu 0.5000 0.5000 0.5000
Si1 Si 0.0000 0.0000 0.0000
Tl1 Tl 0.2448 0.2448 0.2656
Tl2 Tl 0.7552 0.7552 0.7344
```

Its volume is 20.66 Å³/atom. Its formation energy (no corrections) is 0.557 eV/atom. The calculation puts the raw total energy at -41.926 eV/atom.

(11)
Below is CaMoIr2 at its PBEsol-relaxed geometry, with properties calculated at the SCAN level.

```
data_CaMoIr2
_chemical_formula_sum 'Ca1 Mo1 Ir2'
_space_group_name_H-M_alt 'P 1'
_space_group_IT_number 1
_cell_length_a 2.8341
_cell_length_b 2.8341
_cell_length_c 9.3935
_cell_angle_alpha 81.32
_cell_angle_beta 81.32
_cell_angle_gamma 60.00
loop_
_space_group_symop_operation_xyz
'x,y,z'
loop_
_atom_site_label
_atom_site_type_symbol
_atom_site_fract_x
_atom_site_fract_y
_atom_site_fract_z
Mo1 Mo 0.5000 0.5000 0.5000
Ir1 Ir 0.2439 0.2439 0.2684
Ir2 Ir 0.7561 0.7561 0.7316
Ca1 Ca 0.0000 0.0000 0.0000
```

Its volume is 16.09 Å³/atom. The calculation puts the raw total energy at -46.523 eV/atom.

(12)
Below is CaLaY2 at its PBEsol-relaxed geometry, with properties calculated at the SCAN level.

```
data_CaLaY2
_chemical_formula_sum 'Ca1 La1 Y2'
_space_group_name_H-M_alt 'P 1'
_space_group_IT_number 1
_cell_length_a 5.1687
_cell_length_b 5.1687
_cell_length_c 6.1974
_cell_angle_alpha 114.65
_cell_angle_beta 114.65
_cell_angle_gamma 90.00
loop_
_space_group_symop_operation_xyz
'x,y,z'
loop_
_atom_site_label
_atom_site_type_symbol
_atom_site_fract_x
_atom_site_fract_y
_atom_site_fract_z
Y1 Y 0.0000 0.0000 0.0000
Y2 Y 0.7500 0.2500 0.5000
Ca1 Ca 0.5000 0.5000 0.0000
La1 La 0.2500 0.7500 0.5000
```

Its volume is 33.43 Å³/atom. The calculation puts the raw total energy at -26.976 eV/atom.

Which of these has the highest raw total energy? KBeCu2